1.
Tb2CeDyY: optimized geometry, PBE.

a = 5.9137 Å, b = 7.9733 Å, c = 6.8880 Å
α = 90.00°, β = 90.00°, γ = 90.00°
Closest atoms and distances in Å follow each position.
Sites, in units of the cell vectors:
Tb 0.2500 0.2001 0.1893  1 Y 3.09, 1 Tb 3.19
Tb 0.2500 0.7999 0.1893  1 Y 3.09, 1 Tb 3.19
Tb 0.7500 0.2001 0.8107  1 Y 3.09, 1 Tb 3.19
Tb 0.7500 0.7999 0.8107  1 Y 3.09, 1 Tb 3.19
Ce 0.0000 0.5000 0.5000  2 Ce 2.96, 2 Y 3.16
Ce 0.5000 0.5000 0.5000  2 Ce 2.96, 2 Y 3.16
Dy 0.2500 0.0000 0.6611  6 Tb 3.51-3.62, 2 Dy 3.70
Dy 0.7500 0.0000 0.3389  6 Tb 3.51-3.62, 2 Dy 3.70
Y 0.2500 0.5000 0.9061  2 Tb 3.09, 2 Ce 3.16, 2 Y 3.23
Y 0.7500 0.5000 0.0939  2 Tb 3.09, 2 Ce 3.16, 2 Y 3.23

Results
As for the symmetry: Pmma.


2.
Tb6Ce2DyY3: optimized geometry, PBE.

a = 6.1561 Å, b = 6.1561 Å, c = 11.7922 Å
α = 94.99°, β = 94.99°, γ = 120.00°
Closest atoms and distances in Å follow each position.
Sites, in units of the cell vectors:
Tb 0.0812 0.4168 0.7519  2 Ce 3.53, 6 Tb 3.54-3.58, 1 Dy 3.55, 3 Y 3.57-3.58
Tb 0.2477 0.2477 0.2483  2 Ce 3.54, 6 Tb 3.54-3.58, 1 Dy 3.55, 3 Y 3.57
Tb 0.4168 0.0812 0.7519  2 Ce 3.53, 6 Tb 3.54-3.58, 1 Dy 3.55, 3 Y 3.57-3.58
Tb 0.5832 0.9188 0.2481  2 Ce 3.53, 6 Tb 3.54-3.58, 1 Dy 3.55, 3 Y 3.57-3.58
Tb 0.7523 0.7523 0.7517  2 Ce 3.54, 6 Tb 3.54-3.58, 1 Dy 3.55, 3 Y 3.57
Tb 0.9188 0.5832 0.2481  2 Ce 3.53, 6 Tb 3.54-3.58, 1 Dy 3.55, 3 Y 3.57-3.58
Ce 0.1666 0.8334 0.0000  6 Tb 3.53-3.54, 3 Ce 3.55-3.56, 3 Dy 3.55-3.56
Ce 0.8334 0.1666 0.0000  6 Tb 3.53-3.54, 3 Ce 3.55-3.56, 3 Dy 3.55-3.56
Dy 0.5000 0.5000 0.0000  6 Tb 3.55, 6 Ce 3.55-3.56
Y 0.0000 0.0000 0.5000  6 Y 3.55-3.56, 6 Tb 3.57-3.58
Y 0.3339 0.6661 0.5000  6 Y 3.54-3.56, 6 Tb 3.57-3.58
Y 0.6661 0.3339 0.5000  6 Y 3.54-3.56, 6 Tb 3.57-3.58

Results
As for the symmetry: C2/m.


3.
CeDyTc: optimized geometry, PBE.

a = 4.7162 Å, b = 4.7162 Å, c = 3.5098 Å
α = 90.00°, β = 90.00°, γ = 120.00°
Closest atoms and distances in Å follow each position.
Sites, in units of the cell vectors:
Ce 0.0000 0.0000 0.0000  3 Tc 2.84, 3 Dy 3.11
Dy 0.6667 0.3333 0.5695  3 Tc 2.98, 3 Ce 3.11
Tc 0.3333 0.6667 0.2256  3 Ce 2.84, 3 Dy 2.98

Results
As for the symmetry: P3m1.


4.
CeDyTc4: optimized geometry, PBE.

a = 5.4213 Å, b = 5.4213 Å, c = 5.4213 Å
α = 60.00°, β = 60.00°, γ = 60.00°
Closest atoms and distances in Å follow each position.
Sites, in units of the cell vectors:
Ce 0.0000 0.0000 0.0000  12 Tc 3.18, 4 Dy 3.32
Dy 0.2500 0.2500 0.2500  12 Tc 3.18, 4 Ce 3.32
Tc 0.1254 0.6249 0.6249  6 Tc 2.71
Tc 0.6249 0.1254 0.6249  6 Tc 2.71
Tc 0.6249 0.6249 0.1254  6 Tc 2.71
Tc 0.6249 0.6249 0.6249  6 Tc 2.71

Results
As for the symmetry: F-43m.


5.
CeDyTc: optimized geometry, PBE.

a = 4.7928 Å, b = 4.7928 Å, c = 4.7928 Å
α = 60.00°, β = 60.00°, γ = 60.00°
Closest atoms and distances in Å follow each position.
Sites, in units of the cell vectors:
Ce 0.0000 0.0000 0.0000  4 Tc 2.93
Dy 0.5000 0.5000 0.5000  4 Tc 2.93
Tc 0.2500 0.2500 0.2500  4 Ce 2.93, 4 Dy 2.93

Results
As for the symmetry: F-43m.


6.
CeDyTc: optimized geometry, PBE.

a = 6.8712 Å, b = 6.8712 Å, c = 6.8712 Å
α = 151.27°, β = 151.27°, γ = 41.09°
Closest atoms and distances in Å follow each position.
Sites, in units of the cell vectors:
Ce 0.0000 0.0000 0.0000  4 Tc 2.87
Dy 0.7391 0.7391 0.0000  4 Tc 3.00, 1 Ce 3.36
Tc 0.3784 0.3784 0.0000  4 Ce 2.87, 4 Dy 3.00

Results
As for the symmetry: I4mm.


7.
CeDyTc: optimized geometry, PBE.

a = 6.0516 Å, b = 6.0516 Å, c = 7.4856 Å
α = 119.86°, β = 119.86°, γ = 40.18°
Closest atoms and distances in Å follow each position.
Sites, in units of the cell vectors:
Ce 0.1596 0.1596 0.0495  1 Tc 2.32
Ce 0.8404 0.8404 0.9505  1 Tc 2.32
Dy 0.4062 0.4062 0.6205  4 Tc 3.04-3.13
Dy 0.5938 0.5938 0.3795  4 Tc 3.04-3.13
Tc 0.1267 0.1267 0.7160  1 Ce 2.32
Tc 0.8733 0.8733 0.2840  1 Ce 2.32

Results
As for the symmetry: C2/m.


8.
CeDy2Tc2: optimized geometry, PBE.

a = 5.9296 Å, b = 5.9296 Å, c = 5.9296 Å
α = 138.09°, β = 122.63°, γ = 73.53°
Closest atoms and distances in Å follow each position.
Sites, in units of the cell vectors:
Ce 0.0000 0.0000 0.0000  4 Tc 2.61
Dy 0.3024 0.8024 0.5000  6 Tc 3.13-3.25, 2 Ce 3.41
Dy 0.6976 0.1976 0.5000  6 Tc 3.13-3.25, 2 Ce 3.41
Tc 0.2664 0.5000 0.7664  2 Ce 2.61, 1 Tc 2.66
Tc 0.7336 0.5000 0.2336  2 Ce 2.61, 1 Tc 2.66

Results
As for the symmetry: Immm.


Number 1: formation energy from the elements 0.3070 eV/atom, magnetization 1.7 μB/f.u.. Number 2: formation energy from the elements 0.0489 eV/atom, magnetization 1.9 μB/f.u.. Number 3: formation energy from the elements 0.0527 eV/atom, magnetization 0.0 μB/f.u.. Number 4: formation energy from the elements -0.0663 eV/atom, magnetization 0.0 μB/f.u.. Number 5: formation energy from the elements 0.0826 eV/atom, magnetization 0.0 μB/f.u.. Number 6: formation energy from the elements -0.0545 eV/atom, magnetization 0.0 μB/f.u.. Number 7: formation energy from the elements -0.0812 eV/atom, magnetization 0.0 μB/f.u.. Number 8: formation energy from the elements -0.1482 eV/atom, magnetization 0.0 μB/f.u..